A geometry-optimized Mo2PbSe structure. Source: Alexandria via LeMat-Bulk, functional PBE-GGA.

Computed properties:
- calculated volume (Å³ per cell) = 149.22
- ΔE to the lowest computed polymorph (eV/atom) = 0.559
- calculated total energy (eV per atom) = -6.52
- uncorrected formation energy (meV/atom) = 697

The structure in CIF format:
```
data_Mo2PbSe
_chemical_formula_sum 'Mo4 Pb2 Se2'
_cell_length_a 4.3228
_cell_length_b 4.3228
_cell_length_c 7.9852
_cell_angle_alpha 90.00
_cell_angle_beta 90.00
_cell_angle_gamma 90.00
_space_group_name_H-M_alt 'I -4 m 2'
_space_group_IT_number 119
_space_group_name_Hall 'I -4 -2'
loop_
_atom_site_label
_atom_site_fract_x
_atom_site_fract_y
_atom_site_fract_z
Mo1 0.0000 0.0000 0.0000
Mo2 0.0000 0.5000 0.2500
Pb1 0.0000 0.5000 0.7500
Se1 0.0000 0.0000 0.5000
```